[1]
A geometry-optimized Sc2RhI structure. Source: Alexandria, functional PBE.

Geometry as CIF:
```
data_Sc2RhI
_symmetry_space_group_name_H-M 'R -3 m'
_symmetry_Int_Tables_number 166
_symmetry_space_group_name_Hall '-R 3 2"'
_cell_length_a 3.4391
_cell_length_b 3.4391
_cell_length_c 28.1709
_cell_angle_alpha 90.00
_cell_angle_beta 90.00
_cell_angle_gamma 120.00
loop_
_atom_site_label
_atom_site_fract_x
_atom_site_fract_y
_atom_site_fract_z
Sc1 0.0000 0.0000 0.0828
Rh1 0.0000 0.0000 0.0000
I1 0.0000 0.0000 0.5000
```

V (Å³ per cell): 288.6
D(E_F) (states/eV/f.u.): 4.9
Relative energy among the computed polymorphs (eV/atom): 0.725
E_form (uncorrected) (eV/f.u.): 0.19

[2]
A geometry-optimized NaInGaPd2 structure. Source: Alexandria, functional PBE.

Geometry as CIF:
```
data_NaInGaPd2
_symmetry_space_group_name_H-M 'P 4/m m m'
_symmetry_Int_Tables_number 123
_symmetry_space_group_name_Hall '-P 4 2'
_cell_length_a 5.106
_cell_length_b 5.106
_cell_length_c 5.181
_cell_angle_alpha 90.00
_cell_angle_beta 90.00
_cell_angle_gamma 90.00
loop_
_atom_site_label
_atom_site_fract_x
_atom_site_fract_y
_atom_site_fract_z
Na1 0.000 0.000 0.000
In1 0.500 0.500 0.500
Ga1 0.500 0.500 0.000
Pd1 0.000 0.500 0.500
```

V (Å³ per cell): 135.1
D(E_F) (states/eV/f.u.): 2.3
ΔE_f (eV/atom): 0.303

Q: Among the records above, which one has the highest D(E_F)?
A: Sc2RhI